Entry 1:
Computed, not measured: a relaxed LiPuRhAu crystal at the GGA-PBE level of DFT.

Cell and atoms, written as CIF:
```
data_LiPuRhAu
_chemical_formula_sum 'Li4 Pu4 Rh4 Au4'
_cell_length_a 6.6400
_cell_length_b 6.6400
_cell_length_c 6.6400
_cell_angle_alpha 90.00
_cell_angle_beta 90.00
_cell_angle_gamma 90.00
_space_group_name_H-M_alt 'F -4 3 m'
_space_group_IT_number 216
_space_group_name_Hall 'F -4 2 3'
loop_
_atom_site_label
_atom_site_fract_x
_atom_site_fract_y
_atom_site_fract_z
_atom_site_occupancy
Li1 0.0000 0.0000 0.0000 1
Pu1 0.2500 0.2500 0.2500 1
Rh1 0.0000 0.0000 0.5000 1
Au1 0.2500 0.2500 0.7500 1
```

DFT total energy	-6.986	eV per atom
crystal system	cubic


Entry 2:
Computed, not measured: a relaxed CaAgP crystal at the GGA-PBE level of DFT.

Cell and atoms, written as CIF:
```
data_CaAgP
_chemical_formula_sum 'Ca2 Ag2 P2'
_cell_length_a 4.1650
_cell_length_b 4.1651
_cell_length_c 8.1268
_cell_angle_alpha 104.76
_cell_angle_beta 104.80
_cell_angle_gamma 90.00
_space_group_name_H-M_alt 'P 1'
_space_group_IT_number 1
loop_
_space_group_symop_operation_xyz
'x,y,z'
loop_
_atom_site_label
_atom_site_fract_x
_atom_site_fract_y
_atom_site_fract_z
_atom_site_occupancy
Ca1 0.0000 0.0000 0.0000 1
Ca2 0.2499 0.7494 0.5000 1
Ag1 0.4146 0.4142 0.8284 1
Ag2 0.6642 0.1646 0.3284 1
P1 0.5764 0.5779 0.1542 1
P2 0.8277 0.3237 0.6542 1
```

DFT total energy	-4.064	eV per atom
crystal system	triclinic


Entry 3:
Computed, not measured: a relaxed LuScTiIr crystal at the GGA-PBE level of DFT.

Cell and atoms, written as CIF:
```
data_LuScTiIr
_chemical_formula_sum 'Lu4 Sc4 Ti4 Ir4'
_cell_length_a 6.7516
_cell_length_b 6.7516
_cell_length_c 6.7516
_cell_angle_alpha 90.00
_cell_angle_beta 90.00
_cell_angle_gamma 90.00
_space_group_name_H-M_alt 'F -4 3 m'
_space_group_IT_number 216
_space_group_name_Hall 'F -4 2 3'
loop_
_atom_site_label
_atom_site_fract_x
_atom_site_fract_y
_atom_site_fract_z
_atom_site_occupancy
Lu1 0.0000 0.0000 0.0000 1
Sc1 0.0000 0.0000 0.5000 1
Ti1 0.2500 0.2500 0.7500 1
Ir1 0.2500 0.2500 0.2500 1
```

DFT total energy	-7.242	eV per atom
crystal system	cubic


Entry 4:
Computed, not measured: a relaxed CsAlCuCl6 crystal at the GGA-PBE level of DFT.

Cell and atoms, written as CIF:
```
data_CsAlCuCl6
_chemical_formula_sum 'Cs1 Al1 Cu1 Cl6'
_cell_length_a 6.2068
_cell_length_b 6.2155
_cell_length_c 7.7712
_cell_angle_alpha 92.42
_cell_angle_beta 92.83
_cell_angle_gamma 114.19
_space_group_name_H-M_alt 'P 1'
_space_group_IT_number 1
loop_
_space_group_symop_operation_xyz
'x,y,z'
loop_
_atom_site_label
_atom_site_fract_x
_atom_site_fract_y
_atom_site_fract_z
_atom_site_occupancy
Cs1 0.0000 0.0000 0.0000 1
Al1 0.6408 0.3577 0.4996 1
Cu1 0.2980 0.7004 0.5004 1
Cl1 0.3425 0.0520 0.6464 1
Cl2 0.3522 0.4261 0.3199 1
Cl3 0.5736 0.6437 0.6809 1
Cl4 0.6217 0.0756 0.3002 1
Cl5 0.9258 0.3748 0.6977 1
Cl6 0.9453 0.6587 0.3543 1
```

formation energy without anion corrections	-1.29	eV/atom
crystal system	triclinic


Entry 5:
Computed, not measured: a relaxed Tm5MgCd3 crystal at the GGA-PBE level of DFT.

Cell and atoms, written as CIF:
```
data_Tm5MgCd3
_chemical_formula_sum 'Tm10 Mg2 Cd6'
_cell_length_a 9.1043
_cell_length_b 9.1043
_cell_length_c 6.5872
_cell_angle_alpha 90.00
_cell_angle_beta 90.00
_cell_angle_gamma 120.00
_space_group_name_H-M_alt 'P 63/m c m'
_space_group_IT_number 193
_space_group_name_Hall '-P 6c 2'
loop_
_atom_site_label
_atom_site_fract_x
_atom_site_fract_y
_atom_site_fract_z
_atom_site_occupancy
Tm1 0.0000 0.3152 0.2500 1
Tm2 0.3333 0.6667 0.0000 1
Mg1 0.0000 0.0000 0.0000 1
Cd1 0.0000 0.3513 0.7500 1
```

DFT total energy	-3.144	eV per atom
crystal system	hexagonal


Entry 6:
Computed, not measured: a relaxed Na2TiAg crystal at the GGA-PBE level of DFT.

Cell and atoms, written as CIF:
```
data_Na2TiAg
_chemical_formula_sum 'Na8 Ti4 Ag4'
_cell_length_a 7.2027
_cell_length_b 7.2027
_cell_length_c 7.2027
_cell_angle_alpha 90.00
_cell_angle_beta 90.00
_cell_angle_gamma 90.00
_space_group_name_H-M_alt 'F m -3 m'
_space_group_IT_number 225
_space_group_name_Hall '-F 4 2 3'
loop_
_atom_site_label
_atom_site_fract_x
_atom_site_fract_y
_atom_site_fract_z
_atom_site_occupancy
Na1 0.2500 0.2500 0.2500 1
Ti1 0.0000 0.0000 0.0000 1
Ag1 0.0000 0.0000 0.5000 1
```

DFT total energy	-2.657	eV per atom
crystal system	cubic